A relaxed structure of V2FeSi. Source: Alexandria via LeMat-Bulk, functional GGA-PBE.

```
V2FeSi
1.0
4.5993 0.0065 0.0000
-0.0014 4.5994 0.0000
0.0000 0.0000 4.5471
Fe V Si
2 4 2
Direct
0.7472 0.0064 0.7500
0.0064 0.7472 0.2500
0.0054 0.2398 0.2500
0.4981 0.4981 0.0000
0.4981 0.4981 0.5000
0.2398 0.0054 0.7500
0.5092 0.9960 0.2500
0.9960 0.5092 0.7500
```

Computed properties:
crystal system = orthorhombic
VASP energy = -8.51 eV/atom

***

A relaxed structure of VFe3Si4. Source: Alexandria via LeMat-Bulk, functional GGA-PBE.

```
VFe3Si4
1.0
4.5218 -0.0031 -0.0030
0.0373 4.5216 -0.0030
0.0373 0.0370 4.5215
Fe Si V
3 4 1
Direct
0.1388 0.3704 0.8521
0.3704 0.8521 0.1388
0.8521 0.1388 0.3704
0.3331 0.3331 0.3331
0.8582 0.6609 0.1508
0.6609 0.1508 0.8582
0.1508 0.8582 0.6609
0.6356 0.6356 0.6356
```

Computed properties:
crystal system = trigonal
VASP energy = -7.48 eV/atom

***

A relaxed structure of V6Fe2Si. Source: Alexandria via LeMat-Bulk, functional GGA-PBE.

```
V6Fe2Si
1.0
-0.9698 3.5527 -3.3275
-3.8342 -4.0689 -3.2267
-6.0275 2.9304 3.4672
V Fe Si
12 4 2
Direct
0.8395 0.9915 0.2135
0.3931 0.7913 0.4415
0.3395 0.5085 0.7135
0.6359 0.1383 0.9417
0.1359 0.3617 0.4417
0.1605 0.0085 0.7865
0.8931 0.7087 0.9415
0.8641 0.6383 0.5583
0.6069 0.2087 0.5585
0.6605 0.4915 0.2865
0.1069 0.2913 0.0585
0.3641 0.8617 0.0583
0.3912 0.1100 0.2902
0.8912 0.3900 0.7902
0.1088 0.6100 0.2098
0.6088 0.8900 0.7098
0.0000 0.0000 0.5000
0.5000 0.5000 0.0000
```

Computed properties:
crystal system = monoclinic
VASP energy = -8.48 eV/atom

***

A relaxed structure of VFe2Si2. Source: Alexandria via LeMat-Bulk, functional GGA-PBE.

```
VFe2Si2
1.0
-3.3658 -2.1978 5.3153
1.1089 -6.2909 -1.8990
2.2087 -0.0292 1.3865
Fe V Si
4 2 4
Direct
0.1528 0.6528 0.5000
0.6528 0.8472 0.5000
0.8472 0.3472 0.5000
0.3472 0.1528 0.5000
0.5000 0.5000 0.0000
0.0000 0.0000 0.0000
0.1426 0.3574 0.0000
0.3574 0.8574 0.0000
0.6426 0.1426 0.0000
0.8574 0.6426 0.0000
```

Computed properties:
crystal system = tetragonal
VASP energy = -7.74 eV/atom

***

Q: Look up the VASP energy of the first one.
A: -8.51 eV/atom